No. 1
Th2PaPd9: optimized geometry, GGA-PBE.

Unit cell a=4.209 b=4.209 c=12.617 alpha=90.00 beta=90.00 gamma=90.00
Atoms (fractional coordinates):
Pd 0.500 0.000 0.500
Pd 0.500 0.500 0.333
Pd 0.000 0.500 0.500
Pd 0.000 0.500 0.165
Th 0.000 0.000 0.332
Pd 0.500 0.000 0.835
Pd 0.500 0.500 0.000
Pd 0.500 0.500 0.667
Pd 0.500 0.000 0.165
Th 0.000 0.000 0.668
Pd 0.000 0.500 0.835
Pa 0.000 0.000 0.000

Properties
**Magnetization**: 0.103 μB/atom
**DOS(E_F)**: 0.66 states/eV/atom
**Formation energy**: -79 kJ/mol of atoms
**Density**: 12.28 g/cm3

No. 2
ThPaPd4: optimized geometry, GGA-PBE.

Unit cell a=5.489 b=5.489 c=5.489 alpha=60.00 beta=60.00 gamma=60.00
Atoms (fractional coordinates):
Pd 0.625 0.625 0.126
Pd 0.625 0.126 0.625
Pd 0.625 0.625 0.625
Pd 0.126 0.625 0.625
Th 0.000 0.000 0.000
Pa 0.250 0.250 0.250

Properties
**Magnetization**: 0.288 μB/atom
**DOS(E_F)**: 1.54 states/eV/atom
**Formation energy**: -55 kJ/mol of atoms
**Density**: 12.62 g/cm3

No. 3
Th4PaPd15: optimized geometry, GGA-PBE.

Unit cell a=4.216 b=4.216 c=21.047 alpha=90.00 beta=90.00 gamma=90.00
Atoms (fractional coordinates):
Pa 0.000 0.000 0.000
Pd 0.000 0.500 0.500
Pd 0.500 0.500 0.000
Pd 0.500 0.000 0.500
Th 0.000 0.000 0.601
Pd 0.500 0.000 0.701
Pd 0.500 0.000 0.099
Pd 0.500 0.500 0.800
Th 0.000 0.000 0.198
Pd 0.500 0.000 0.901
Pd 0.000 0.500 0.701
Pd 0.500 0.500 0.400
Pd 0.500 0.500 0.600
Pd 0.000 0.500 0.901
Pd 0.500 0.000 0.299
Pd 0.000 0.500 0.099
Th 0.000 0.000 0.399
Pd 0.500 0.500 0.200
Th 0.000 0.000 0.802
Pd 0.000 0.500 0.299

Properties
**Magnetization**: 0.068 μB/atom
**DOS(E_F)**: 0.49 states/eV/atom
**Formation energy**: -82 kJ/mol of atoms
**Density**: 12.23 g/cm3

No. 4
PaTiPd2: optimized geometry, GGA-PBE.

Unit cell a=4.786 b=4.786 c=4.786 alpha=60.00 beta=60.00 gamma=60.00
Atoms (fractional coordinates):
Pd 0.250 0.250 0.250
Ti 0.500 0.500 0.500
Pd 0.750 0.750 0.750
Pa 0.000 0.000 0.000

Properties
**Magnetization**: 0.576 μB/atom
**ΔE to the lowest computed polymorph**: 102.1 meV/atom
**DOS(E_F)**: 1.54 states/eV/atom
**Formation energy**: -33 kJ/mol of atoms
**Density**: 10.54 g/cm3

No. 5
PaTi2Pd7: optimized geometry, GGA-PBE.

Unit cell a=4.274 b=7.501 c=7.501 alpha=122.10 beta=90.00 gamma=90.00
Atoms (fractional coordinates):
Pd 0.500 0.074 0.296
Pd 0.000 0.787 0.213
Pd 0.500 0.296 0.074
Pa 0.000 0.000 0.000
Pd 0.500 0.704 0.926
Pd 0.500 0.926 0.704
Pd 0.000 0.213 0.787
Ti 0.500 0.309 0.691
Ti 0.500 0.691 0.309
Pd 0.500 0.500 0.500

Properties
**Magnetization**: 0.060 μB/atom
**DOS(E_F)**: 0.82 states/eV/atom
**Formation energy**: -11 kJ/mol of atoms
**Density**: 8.74 g/cm3

No. 6
PaTiPd2: optimized geometry, GGA-PBE.

Unit cell a=4.013 b=4.313 c=4.313 alpha=90.00 beta=90.00 gamma=90.00
Atoms (fractional coordinates):
Pd 0.000 0.500 0.000
Pd 0.000 0.000 0.500
Pa 0.500 0.500 0.500
Ti 0.500 0.000 0.000

Properties
**Magnetization**: 0.487 μB/atom
**ΔE to the lowest computed polymorph**: 35.6 meV/atom
**DOS(E_F)**: 1.47 states/eV/atom
**Formation energy**: -40 kJ/mol of atoms
**Density**: 10.94 g/cm3

No. 7
Pa2Ti5Pd12: optimized geometry, GGA-PBE.

Unit cell a=7.663 b=7.590 c=6.664 alpha=83.49 beta=90.00 gamma=120.32
Atoms (fractional coordinates):
Pd 0.562 0.124 0.246
Pd 0.128 0.255 0.158
Pd 0.187 0.804 0.427
Pd 0.383 0.196 0.573
Pd 0.438 0.876 0.754
Ti 0.770 0.539 0.495
Pd 0.944 0.503 0.195
Ti 0.000 0.000 0.500
Pd 0.813 0.196 0.573
Pd 0.617 0.804 0.427
Pd 0.056 0.497 0.805
Pd 0.441 0.497 0.805
Ti 0.230 0.461 0.505
Pa 0.766 0.000 0.000
Pa 0.234 0.000 0.000
Ti 0.331 0.662 0.108
Pd 0.872 0.745 0.842
Ti 0.669 0.338 0.892
Pd 0.559 0.503 0.195

Properties
**Magnetization**: 0.000 μB/atom
**DOS(E_F)**: 0.99 states/eV/atom
**Formation energy**: -39 kJ/mol of atoms
**Density**: 9.90 g/cm3

No. 8
PaTiPd2: optimized geometry, GGA-PBE.

Unit cell a=3.019 b=3.019 c=9.455 alpha=80.81 beta=80.81 gamma=60.00
Atoms (fractional coordinates):
Pd 0.739 0.739 0.782
Pa 0.500 0.500 0.500
Pd 0.261 0.261 0.218
Ti 0.000 0.000 0.000

Properties
**Magnetization**: 0.000 μB/atom
**ΔE to the lowest computed polymorph**: 157.6 meV/atom
**DOS(E_F)**: 1.19 states/eV/atom
**Formation energy**: -28 kJ/mol of atoms
**Density**: 11.13 g/cm3

No. 9
PaTiPd2: optimized geometry, GGA-PBE.

Unit cell a=3.215 b=3.215 c=7.119 alpha=90.00 beta=90.00 gamma=90.00
Atoms (fractional coordinates):
Pd 0.000 0.000 0.793
Pa 0.500 0.500 0.500
Ti 0.500 0.500 0.000
Pd 0.000 0.000 0.207

Properties
**Magnetization**: 0.003 μB/atom
**ΔE to the lowest computed polymorph**: 0.0 meV/atom
**DOS(E_F)**: 1.76 states/eV/atom
**Formation energy**: -43 kJ/mol of atoms
**Density**: 11.10 g/cm3

No. 10
PaTlPd4: optimized geometry, GGA-PBE.

Unit cell a=5.401 b=5.401 c=5.401 alpha=60.00 beta=60.00 gamma=60.00
Atoms (fractional coordinates):
Pa 0.000 0.000 0.000
Pd 0.625 0.625 0.625
Pd 0.125 0.625 0.625
Pd 0.625 0.125 0.625
Pd 0.625 0.625 0.125
Tl 0.250 0.250 0.250

Properties
**Magnetization**: 0.000 μB/atom
**DOS(E_F)**: 0.86 states/eV/atom
**Formation energy**: -45 kJ/mol of atoms
**Density**: 12.83 g/cm3

No. 11
Pa2TlPd9: optimized geometry, GGA-PBE.

Unit cell a=4.151 b=4.151 c=12.305 alpha=90.00 beta=90.00 gamma=90.00
Atoms (fractional coordinates):
Pd 0.500 0.500 0.334
Pd 0.500 0.500 0.666
Pd 0.000 0.500 0.171
Pd 0.000 0.500 0.829
Pa 0.000 0.000 0.328
Pd 0.500 0.000 0.171
Pd 0.500 0.000 0.500
Tl 0.000 0.000 0.000
Pa 0.000 0.000 0.672
Pd 0.000 0.500 0.500
Pd 0.500 0.000 0.829
Pd 0.500 0.500 0.000

Properties
**Magnetization**: 0.069 μB/atom
**DOS(E_F)**: 0.66 states/eV/atom
**Formation energy**: -60 kJ/mol of atoms
**Density**: 12.72 g/cm3

No. 12
PaTlPd6: optimized geometry, GGA-PBE.

Unit cell a=4.130 b=4.130 c=8.200 alpha=90.00 beta=90.00 gamma=90.00
Atoms (fractional coordinates):
Pd 0.000 0.500 0.258
Pd 0.500 0.500 0.500
Pa 0.000 0.000 0.500
Tl 0.000 0.000 0.000
Pd 0.500 0.000 0.742
Pd 0.500 0.500 0.000
Pd 0.000 0.500 0.742
Pd 0.500 0.000 0.258

Properties
**Magnetization**: 0.000 μB/atom
**DOS(E_F)**: 0.17 states/eV/atom
**Formation energy**: -57 kJ/mol of atoms
**Density**: 12.75 g/cm3

No. 13
Pa2TlPd: optimized geometry, GGA-PBE.

Unit cell a=3.178 b=3.178 c=11.171 alpha=81.82 beta=81.82 gamma=60.00
Atoms (fractional coordinates):
Pd 0.000 0.000 0.000
Tl 0.500 0.500 0.500
Pa 0.919 0.919 0.242
Pa 0.081 0.081 0.758

Properties
**Magnetization**: 0.000 μB/atom
**ΔE to the lowest computed polymorph**: 267.2 meV/atom
**DOS(E_F)**: 1.59 states/eV/atom
**Formation energy**: 14 kJ/mol of atoms
**Density**: 13.32 g/cm3

No. 14
Pa2TlPd: optimized geometry, GGA-PBE.

Unit cell a=3.235 b=3.235 c=8.906 alpha=90.00 beta=90.00 gamma=90.00
Atoms (fractional coordinates):
Pa 0.000 0.000 0.777
Pd 0.500 0.500 0.000
Tl 0.500 0.500 0.500
Pa 0.000 0.000 0.223

Properties
**Magnetization**: 0.224 μB/atom
**ΔE to the lowest computed polymorph**: 0.0 meV/atom
**DOS(E_F)**: 1.88 states/eV/atom
**Formation energy**: -12 kJ/mol of atoms
**Density**: 13.77 g/cm3

No. 15
PaTlZnPd: optimized geometry, GGA-PBE.

Unit cell a=4.884 b=4.884 c=4.884 alpha=60.00 beta=60.00 gamma=60.00
Atoms (fractional coordinates):
Tl 0.000 0.000 0.000
Pd 0.750 0.750 0.750
Zn 0.250 0.250 0.250
Pa 0.500 0.500 0.500

Properties
**Magnetization**: 0.000 μB/atom
**DOS(E_F)**: 0.79 states/eV/atom
**Formation energy**: -17 kJ/mol of atoms
**Density**: 12.24 g/cm3

No. 16
TmPaPd2: optimized geometry, GGA-PBE.

Unit cell a=4.950 b=4.950 c=4.950 alpha=60.00 beta=60.00 gamma=60.00
Atoms (fractional coordinates):
Tm 0.000 0.000 0.000
Pa 0.500 0.500 0.500
Pd 0.250 0.250 0.250
Pd 0.750 0.750 0.750

Properties
**Magnetization**: 0.201 μB/atom
**ΔE to the lowest computed polymorph**: 48.5 meV/atom
**DOS(E_F)**: 1.54 states/eV/atom
**Formation energy**: -56 kJ/mol of atoms
**Density**: 11.86 g/cm3

No. 17
TmPa2Pd: optimized geometry, GGA-PBE.

Unit cell a=3.158 b=3.158 c=11.405 alpha=82.04 beta=82.04 gamma=60.00
Atoms (fractional coordinates):
Pa 0.920 0.920 0.239
Pd 0.000 0.000 0.000
Tm 0.500 0.500 0.500
Pa 0.080 0.080 0.761

Properties
**Magnetization**: 0.000 μB/atom
**DOS(E_F)**: 1.94 states/eV/atom
**Formation energy**: 17 kJ/mol of atoms
**Density**: 12.59 g/cm3

No. 18
TmPaPd14: optimized geometry, GGA-PBE.

Unit cell a=5.797 b=5.797 c=7.844 alpha=90.00 beta=90.00 gamma=90.00
Atoms (fractional coordinates):
Pd 0.627 0.627 0.247
Pd 0.627 0.627 0.753
Pd 0.875 0.375 0.000
Pd 0.375 0.875 0.500
Pd 0.375 0.875 0.000
Pd 0.375 0.375 0.000
Tm 0.375 0.375 0.500
Pd 0.123 0.123 0.753
Pd 0.122 0.628 0.247
Pa 0.875 0.875 0.500
Pd 0.123 0.123 0.247
Pd 0.122 0.628 0.753
Pd 0.628 0.122 0.247
Pd 0.875 0.375 0.500
Pd 0.875 0.875 0.000
Pd 0.628 0.122 0.753

Properties
**Magnetization**: 0.000 μB/atom
**DOS(E_F)**: 1.02 states/eV/atom
**Formation energy**: -46 kJ/mol of atoms
**Density**: 11.91 g/cm3

No. 19
Tm2PaPd: optimized geometry, GGA-PBE.

Unit cell a=3.237 b=3.237 c=10.948 alpha=81.50 beta=81.50 gamma=60.00
Atoms (fractional coordinates):
Pd 0.500 0.500 0.500
Pa 0.000 0.000 0.000
Tm 0.902 0.902 0.295
Tm 0.098 0.098 0.705

Properties
**Magnetization**: 0.000 μB/atom
**ΔE to the lowest computed polymorph**: 316.4 meV/atom
**DOS(E_F)**: 1.16 states/eV/atom
**Formation energy**: -2 kJ/mol of atoms
**Density**: 11.46 g/cm3

No. 20
TmPaPd2: optimized geometry, GGA-PBE.

Unit cell a=3.355 b=3.355 c=7.467 alpha=90.00 beta=90.00 gamma=90.00
Atoms (fractional coordinates):
Pd 0.000 0.000 0.264
Pa 0.500 0.500 0.000
Tm 0.500 0.500 0.500
Pd 0.000 0.000 0.736

Properties
**Magnetization**: 0.253 μB/atom
**ΔE to the lowest computed polymorph**: 0.0 meV/atom
**DOS(E_F)**: 1.39 states/eV/atom
**Formation energy**: -61 kJ/mol of atoms
**Density**: 12.11 g/cm3

No. 21
TmPaPd2: optimized geometry, GGA-PBE.

Unit cell a=3.902 b=3.902 c=7.472 alpha=74.86 beta=74.86 gamma=60.00
Atoms (fractional coordinates):
Pd 0.747 0.747 0.760
Pa 0.000 0.000 0.000
Pd 0.253 0.253 0.240
Tm 0.500 0.500 0.500

Properties
**Magnetization**: 0.069 μB/atom
**ΔE to the lowest computed polymorph**: 92.5 meV/atom
**DOS(E_F)**: 1.00 states/eV/atom
**Formation energy**: -52 kJ/mol of atoms
**Density**: 10.83 g/cm3

No. 22
TmPa2Pd9: optimized geometry, GGA-PBE.

Unit cell a=4.142 b=4.142 c=12.383 alpha=90.00 beta=90.00 gamma=90.00
Atoms (fractional coordinates):
Pd 0.500 0.000 0.167
Pa 0.000 0.000 0.330
Pd 0.500 0.000 0.500
Pd 0.500 0.500 0.667
Pd 0.500 0.500 0.000
Tm 0.000 0.000 0.000
Pa 0.000 0.000 0.670
Pd 0.000 0.500 0.833
Pd 0.000 0.500 0.167
Pd 0.000 0.500 0.500
Pd 0.500 0.500 0.333
Pd 0.500 0.000 0.833

Properties
**Magnetization**: 0.099 μB/atom
**DOS(E_F)**: 0.75 states/eV/atom
**Formation energy**: -79 kJ/mol of atoms
**Density**: 12.42 g/cm3

No. 23
TmPaPd4: optimized geometry, GGA-PBE.

Unit cell a=5.424 b=5.424 c=5.424 alpha=60.00 beta=60.00 gamma=60.00
Atoms (fractional coordinates):
Pd 0.625 0.625 0.625
Tm 0.000 0.000 0.000
Pd 0.625 0.125 0.625
Pa 0.250 0.250 0.250
Pd 0.125 0.625 0.625
Pd 0.625 0.625 0.125

Properties
**Magnetization**: 0.000 μB/atom
**DOS(E_F)**: 1.06 states/eV/atom
**Formation energy**: -60 kJ/mol of atoms
**Density**: 12.15 g/cm3

No. 24
Tm2PaPd: optimized geometry, GGA-PBE.

Unit cell a=3.424 b=3.424 c=8.164 alpha=90.00 beta=90.00 gamma=90.00
Atoms (fractional coordinates):
Tm 0.000 0.000 0.789
Tm 0.000 0.000 0.211
Pd 0.500 0.500 0.000
Pa 0.500 0.500 0.500

Properties
**Magnetization**: 0.094 μB/atom
**ΔE to the lowest computed polymorph**: 0.0 meV/atom
**DOS(E_F)**: 1.42 states/eV/atom
**Formation energy**: -33 kJ/mol of atoms
**Density**: 11.71 g/cm3

No. 25
TmPaZnPd: optimized geometry, GGA-PBE.

Unit cell a=4.971 b=4.971 c=4.971 alpha=60.00 beta=60.00 gamma=60.00
Atoms (fractional coordinates):
Tm 0.250 0.250 0.250
Pd 0.500 0.500 0.500
Pa 0.750 0.750 0.750
Zn 0.000 0.000 0.000

Properties
**Magnetization**: 0.079 μB/atom
**DOS(E_F)**: 1.20 states/eV/atom
**Formation energy**: -27 kJ/mol of atoms
**Density**: 10.93 g/cm3

No. 26
UPaPd: optimized geometry, GGA-PBE.

Unit cell a=3.597 b=3.597 c=5.477 alpha=109.17 beta=109.17 gamma=90.00
Atoms (fractional coordinates):
Pd 0.000 0.000 0.000
U 0.320 0.320 0.640
Pa 0.680 0.680 0.359

Properties
**Magnetization**: 0.699 μB/atom
**ΔE to the lowest computed polymorph**: 177.6 meV/atom
**DOS(E_F)**: 2.39 states/eV/atom
**Formation energy**: -7 kJ/mol of atoms
**Density**: 15.23 g/cm3